Entry A
Material: Pm2Ga2Co
Method: DFT, PBE
State: relaxed

Unit cell a=4.374 b=5.777 c=9.480 alpha=84.53 beta=76.66 gamma=67.76
Fractional coordinates of all 10 atoms:
Pm 0.674 0.323 0.330
Pm 0.918 0.277 0.887
Pm 0.326 0.677 0.670
Pm 0.082 0.723 0.113
Ga 0.092 0.253 0.563
Ga 0.625 0.875 0.874
Ga 0.908 0.747 0.437
Ga 0.375 0.125 0.126
Co 0.651 0.075 0.623
Co 0.349 0.925 0.377

***

Entry B
Material: Pm2Ga2Co
Method: DFT, PBE
State: relaxed

Unit cell a=3.713 b=6.029 c=10.631 alpha=85.34 beta=79.94 gamma=72.07
Fractional coordinates of all 10 atoms:
Pm 0.720 0.202 0.358
Pm 0.906 0.306 0.882
Pm 0.280 0.798 0.642
Pm 0.094 0.694 0.118
Ga 0.029 0.350 0.592
Ga 0.624 0.867 0.886
Ga 0.971 0.650 0.408
Ga 0.376 0.133 0.114
Co 0.570 0.159 0.700
Co 0.430 0.841 0.300

***

Which of them is least stable? Easy: entry B.

***

Entry A
Material: PmGaCo
Method: DFT, PBE
State: relaxed

Unit cell a=4.530 b=6.791 c=7.292 alpha=90.00 beta=90.00 gamma=90.00
Fractional coordinates of all 12 atoms:
Pm 0.250 0.810 0.466
Pm 0.750 0.310 0.034
Pm 0.250 0.690 0.966
Pm 0.750 0.190 0.534
Ga 0.750 0.886 0.189
Ga 0.750 0.614 0.689
Ga 0.250 0.114 0.811
Ga 0.250 0.386 0.311
Co 0.750 0.563 0.354
Co 0.750 0.937 0.854
Co 0.250 0.063 0.146
Co 0.250 0.437 0.646

***

Entry B
Material: PmGaCo
Method: DFT, PBE
State: relaxed

Unit cell a=3.220 b=3.220 c=5.842 alpha=106.00 beta=106.00 gamma=90.00
Each line ends with the local moment (μB).
Fractional coordinates of all 3 atoms:
Co 0.695 0.695 0.391  0.70
Ga 0.295 0.295 0.589  -0.02
Pm 0.010 0.010 0.020  -0.04

***

Which of them is least stable? Easy: entry B.

***

Entry A
Material: PmGaCo
Method: DFT, PBE
State: relaxed

Unit cell a=3.929 b=4.191 c=4.191 alpha=120.00 beta=90.00 gamma=90.00
Fractional coordinates of all 3 atoms:
Co 0.167 0.667 0.333
Ga 0.167 0.000 0.000
Pm 0.666 0.333 0.667

***

Entry B
Material: PmGaCo
Method: DFT, PBE
State: relaxed

Unit cell a=4.448 b=4.448 c=4.448 alpha=60.00 beta=60.00 gamma=60.00
Fractional coordinates of all 3 atoms:
Co 0.250 0.250 0.250
Ga 0.500 0.500 0.500
Pm 0.000 0.000 0.000

***

Entry C
Material: PmGaCo
Method: DFT, PBE
State: relaxed

Unit cell a=4.281 b=6.453 c=7.772 alpha=114.53 beta=105.98 gamma=90.00
Fractional coordinates of all 9 atoms:
Pm 0.669 0.326 0.338
Pm 0.331 0.987 0.662
Pm 0.000 0.754 0.000
Ga 0.000 0.246 0.000
Ga 0.336 0.471 0.671
Ga 0.664 0.800 0.329
Co 0.500 0.450 0.000
Co 0.855 0.307 0.710
Co 0.145 0.598 0.290

***

Which of them is least stable? Easy: entry B.

***

Entry A
Material: PmSmGaCo
Method: DFT, PBE
State: relaxed

Unit cell a=3.950 b=4.321 c=5.832 alpha=90.00 beta=109.79 gamma=90.00
Fractional coordinates of all 4 atoms:
Pm 0.137 0.000 0.274
Sm 0.858 0.500 0.716
Ga 0.562 0.500 0.124
Co 0.443 0.000 0.886

***

Entry B
Material: PmSmGaCo
Method: DFT, PBE
State: relaxed

Unit cell a=5.052 b=5.052 c=5.052 alpha=60.00 beta=60.00 gamma=60.00
Each line ends with the local moment (μB).
Fractional coordinates of all 4 atoms:
Co 0.000 0.000 0.000  1.31
Ga 0.500 0.500 0.500  0.05
Sm 0.750 0.750 0.750  -0.10
Pm 0.250 0.250 0.250  -0.10

***

Which of them is least stable? Easy: entry B.

***

Entry A
Material: PmYGaCo
Method: DFT, PBE
State: relaxed

Unit cell a=4.068 b=4.245 c=5.644 alpha=90.00 beta=111.12 gamma=90.00
Fractional coordinates of all 4 atoms:
Pm 0.143 0.000 0.287
Y 0.860 0.500 0.719
Ga 0.561 0.500 0.123
Co 0.436 0.000 0.871

***

Entry B
Material: PmYGaCo
Method: DFT, PBE
State: relaxed

Unit cell a=5.005 b=5.005 c=5.005 alpha=60.00 beta=60.00 gamma=60.00
Each line ends with the local moment (μB).
Fractional coordinates of all 4 atoms:
Y 0.000 0.000 0.000  -0.09
Co 0.250 0.250 0.250  1.30
Ga 0.750 0.750 0.750  0.06
Pm 0.500 0.500 0.500  -0.08

***

Which of them is least stable? Easy: entry B.

***

Entry A
Material: Pr3GaCo
Method: DFT, PBE
State: relaxed

Unit cell a=3.805 b=8.511 c=8.635 alpha=90.54 beta=90.03 gamma=102.93
Each line ends with the local moment (μB).
Fractional coordinates of all 10 atoms:
Pr 0.067 0.167 0.398  0.07
Pr 0.418 0.870 0.665  -0.02
Pr 0.626 0.284 0.757  -0.02
Pr 0.977 0.987 0.023  0.07
Pr 0.273 0.579 0.012  -0.02
Pr 0.771 0.575 0.409  -0.02
Ga 0.411 0.856 0.292  0.01
Ga 0.633 0.298 0.130  0.01
Co 0.240 0.513 0.663  0.43
Co 0.804 0.641 0.759  0.43

***

Entry B
Material: Pr3GaCo
Method: DFT, PBE
State: relaxed

Unit cell a=5.264 b=5.264 c=5.264 alpha=90.00 beta=90.00 gamma=90.00
Fractional coordinates of all 5 atoms:
Pr 0.000 0.500 0.000
Pr 0.000 0.000 0.500
Pr 0.500 0.000 0.000
Co 0.000 0.000 0.000
Ga 0.500 0.500 0.500

***

Entry C
Material: Pr3GaCo
Method: DFT, PBE
State: relaxed

Unit cell a=6.188 b=6.188 c=8.650 alpha=68.79 beta=68.79 gamma=63.52
Fractional coordinates of all 10 atoms:
Pr 0.314 0.314 0.863
Pr 0.686 0.686 0.137
Pr 0.017 0.017 0.776
Pr 0.983 0.983 0.224
Pr 0.705 0.705 0.666
Pr 0.295 0.295 0.334
Ga 0.702 0.298 0.500
Ga 0.298 0.702 0.500
Co 0.322 0.678 0.000
Co 0.678 0.322 0.000

***

Which of them is least stable? Easy: entry B.

***

Entry A
Material: Pr8Ga2Co
Method: DFT, PBE
State: relaxed

Unit cell a=4.916 b=8.996 c=8.904 alpha=120.34 beta=106.03 gamma=90.00
Each line ends with the local moment (μB).
Fractional coordinates of all 11 atoms:
Pr 0.659 0.881 0.318  0.01
Pr 0.341 0.563 0.682  0.01
Pr 0.123 0.123 0.245  -0.07
Pr 0.000 0.334 0.000  0.02
Pr 0.877 0.877 0.755  -0.07
Pr 0.659 0.437 0.318  0.01
Pr 0.341 0.119 0.682  0.01
Pr 0.000 0.666 0.000  0.02
Ga 0.199 0.699 0.399  0.00
Ga 0.801 0.301 0.601  0.00
Co 0.500 0.000 0.000  0.99

***

Entry B
Material: Pr8Ga2Co
Method: DFT, PBE
State: relaxed

Unit cell a=5.009 b=7.051 c=9.649 alpha=100.03 beta=105.04 gamma=90.00
Fractional coordinates of all 11 atoms:
Pr 0.407 0.535 0.814
Pr 0.649 0.981 0.298
Pr 0.790 0.691 0.580
Pr 0.983 0.220 0.965
Pr 0.210 0.309 0.420
Pr 0.351 0.019 0.702
Pr 0.593 0.465 0.186
Pr 0.017 0.780 0.035
Ga 0.814 0.257 0.628
Ga 0.186 0.743 0.372
Co 0.500 0.000 0.000

***

Which of them is least stable? Easy: entry A.

***

Entry A
Material: Pr4GaCo2
Method: DFT, PBE
State: relaxed

Unit cell a=4.040 b=5.649 c=19.044 alpha=90.00 beta=90.00 gamma=110.95
Each line ends with the local moment (μB).
Fractional coordinates of all 14 atoms:
Pr 0.788 0.577 0.130  -0.07
Pr 0.788 0.577 0.370  -0.07
Pr 0.212 0.423 0.870  -0.07
Pr 0.212 0.423 0.630  -0.07
Pr 0.929 0.859 0.750  -0.01
Pr 0.071 0.141 0.250  -0.01
Pr 0.500 0.000 0.000  -0.12
Pr 0.500 0.000 0.500  -0.12
Co 0.218 0.437 0.481  0.95
Co 0.782 0.563 0.981  0.95
Co 0.218 0.437 0.019  0.95
Co 0.782 0.563 0.519  0.95
Ga 0.647 0.295 0.750  0.00
Ga 0.353 0.705 0.250  0.00

***

Entry B
Material: Pr4GaCo2
Method: DFT, PBE
State: relaxed

Unit cell a=4.876 b=4.876 c=9.243 alpha=74.70 beta=74.70 gamma=60.00
Fractional coordinates of all 7 atoms:
Pr 0.383 0.383 0.850
Pr 0.206 0.206 0.382
Pr 0.794 0.794 0.618
Pr 0.617 0.617 0.150
Ga 0.000 0.000 0.000
Co 0.092 0.092 0.724
Co 0.908 0.908 0.276

***

Which of them is least stable? Easy: entry A.

***

Entry A
Material: PrGa9Co2
Method: DFT, PBE
State: relaxed

Unit cell a=3.788 b=7.945 c=7.945 alpha=120.00 beta=90.00 gamma=90.00
Fractional coordinates of all 12 atoms:
Pr 0.000 0.000 0.000
Ga 0.500 0.795 0.205
Ga 0.000 0.000 0.500
Ga 0.000 0.500 0.500
Ga 0.500 0.795 0.589
Ga 0.500 0.205 0.795
Ga 0.500 0.589 0.795
Ga 0.500 0.205 0.411
Ga 0.000 0.500 0.000
Ga 0.500 0.411 0.205
Co 0.000 0.667 0.333
Co 0.000 0.333 0.667

***

Entry B
Material: PrGa9Co2
Method: DFT, PBE
State: relaxed

Unit cell a=7.479 b=8.213 c=8.213 alpha=78.04 beta=62.92 gamma=62.92
Fractional coordinates of all 24 atoms:
Pr 0.500 0.000 0.000
Pr 0.250 0.500 0.500
Ga 0.750 0.500 0.500
Ga 0.000 0.000 0.000
Ga 0.019 0.920 0.677
Ga 0.616 0.080 0.323
Ga 0.690 0.177 0.580
Ga 0.446 0.823 0.420
Ga 0.731 0.823 0.580
Ga 0.134 0.177 0.420
Ga 0.060 0.920 0.323
Ga 0.304 0.080 0.677
Ga 0.731 0.580 0.823
Ga 0.134 0.420 0.177
Ga 0.060 0.323 0.920
Ga 0.304 0.677 0.080
Ga 0.019 0.677 0.920
Ga 0.616 0.323 0.080
Ga 0.690 0.580 0.177
Ga 0.446 0.420 0.823
Co 0.875 0.250 0.750
Co 0.875 0.750 0.250
Co 0.875 0.250 0.250
Co 0.375 0.750 0.750

***

Which of them is least stable? Easy: entry B.

***

Entry A
Material: PrSmGaCo
Method: DFT, PBE
State: relaxed

Unit cell a=5.094 b=5.094 c=5.094 alpha=60.00 beta=60.00 gamma=60.00
Each line ends with the local moment (μB).
Fractional coordinates of all 4 atoms:
Pr 0.000 0.000 0.000  -0.09
Co 0.750 0.750 0.750  1.34
Ga 0.250 0.250 0.250  0.05
Sm 0.500 0.500 0.500  -0.10

***

Entry B
Material: PrSmGaCo
Method: DFT, PBE
State: relaxed

Unit cell a=4.301 b=4.175 c=5.696 alpha=90.00 beta=112.18 gamma=90.00
Fractional coordinates of all 4 atoms:
Pr 0.147 0.000 0.295
Sm 0.861 0.500 0.723
Ga 0.560 0.500 0.120
Co 0.432 0.000 0.863

***

Which of them is least stable? Easy: entry A.

***

Entry A
Material: PuGa2Co2
Method: DFT, PBE
State: relaxed

Unit cell a=4.071 b=4.071 c=10.240 alpha=101.46 beta=101.46 gamma=90.00
Each line ends with the local moment (μB).
Fractional coordinates of all 10 atoms:
Pu 0.632 0.632 0.263  5.13
Pu 0.368 0.368 0.737  5.13
Ga 0.000 0.500 0.000  0.02
Ga 0.187 0.187 0.374  0.02
Ga 0.500 0.000 0.000  0.02
Ga 0.813 0.813 0.626  0.02
Co 0.750 0.250 0.500  -0.30
Co 0.934 0.934 0.868  -0.24
Co 0.066 0.066 0.132  -0.24
Co 0.250 0.750 0.500  -0.30

***

Entry B
Material: PuGa2Co2
Method: DFT, PBE
State: relaxed

Unit cell a=4.318 b=4.318 c=8.941 alpha=90.00 beta=90.00 gamma=97.26
Each line ends with the local moment (μB).
Fractional coordinates of all 10 atoms:
Pu 0.808 0.808 0.250  5.12
Pu 0.192 0.192 0.750  5.12
Ga 0.682 0.682 0.605  0.01
Ga 0.318 0.318 0.105  0.01
Ga 0.682 0.682 0.895  0.01
Ga 0.318 0.318 0.395  0.01
Co 0.196 0.804 0.000  -0.73
Co 0.804 0.196 0.500  -0.73
Co 0.196 0.804 0.500  -0.73
Co 0.804 0.196 0.000  -0.73

***

Which of them is least stable? Easy: entry B.